Here is an optimized crystal structure of Pr2Cu4AgGe3 from Alexandria via LeMat-Bulk. Energies are from GGA-PBE.

```
Pr2Cu4AgGe3
1.0
4.303 0.000 0.000
0.000 4.303 0.000
0.000 0.000 9.953
Pr Cu Ag Ge
2 4 1 3
direct
0.500 0.000 0.240 Pr
0.000 0.500 0.760 Pr
0.500 0.500 0.000 Cu
0.000 0.000 0.000 Cu
0.500 0.000 0.633 Cu
0.000 0.500 0.367 Cu
0.500 0.500 0.500 Ag
0.000 0.000 0.500 Ge
0.500 0.000 0.872 Ge
0.000 0.500 0.128 Ge
```

Formation energy from the elements, eV/atom: -0.42
Theoretical density, Mg/m³: 7.764